DFT (GGA-PBE) results for crystalline Y2Zn3Si2 at its relaxed geometry.

Cell: 3.7291 18.7804 4.0387 Å, 90.00 90.00 90.00°
Last column: nearest neighbours and their distance in Å.
Space group Cmmm (No. 65)
Symmetry-distinct sites (fractional):
Y (0.0000, 0.1648, 0.0000)  6 Si 2.88-3.09, 1 Zn 3.09
Zn (0.0000, 0.0000, 0.0000)  8 Zn 3.03, 2 Y 3.09
Zn (0.0000, 0.4320, 0.5000)  1 Zn 2.55, 1 Si 2.68
Si (0.0000, 0.2894, 0.5000)  2 Si 2.38

Computed properties:
- Formation energy from raw total energies: -0.3725 eV per atom
- Magnetization: 0.00 μB per atom